Cs2Sr2Pb: relaxed, PBE.

The value obtained for the raw total energy is -17.9 eV/cell. The value obtained for the energy of formation is -0.037 eV/atom.

It has space group P4/mbm (No. 127), with a = 9.038 Å, b = 9.038 Å, c = 7.658 Å, α = 90.00°, β = 90.00° and γ = 90.00°. The distinct sites, in fractional coordinates, are Cs at (0.187, 0.313, 0.000), Sr at (0.166, 0.666, 0.500) and Pb at (0.000, 0.000, 0.500).

CsTa3Pb: relaxed, PBE.

The value obtained for the raw total energy is -27.4 eV/cell. The value obtained for the energy of formation is 2.544 eV/atom. The calculation puts the energy relative to the lowest polymorph listed for this composition at 0 meV per atom.

It has space group Pm-3m (No. 221), with a = 5.371 Å, b = 5.371 Å, c = 5.371 Å, α = 90.00°, β = 90.00° and γ = 90.00°. The distinct sites, in fractional coordinates, are Cs at (0.000, 0.000, 0.000), Ta at (0.000, 0.500, 0.500) and Pb at (0.500, 0.500, 0.500).

CsTaPb2: relaxed, PBE.

The value obtained for the raw total energy is -63.7 eV/cell. The value obtained for the energy of formation is 1.048 eV/atom. The calculation puts the energy relative to the lowest polymorph listed for this composition at 421 meV per atom.

It has space group Fm-3m (No. 225), with a = 7.902 Å, b = 7.902 Å, c = 7.902 Å, α = 90.00°, β = 90.00° and γ = 90.00°. The distinct sites, in fractional coordinates, are Cs at (0.000, 0.000, 0.000), Ta at (0.000, 0.000, 0.500) and Pb at (0.250, 0.250, 0.250).

CsTa2Pb: relaxed, PBE.

The value obtained for the raw total energy is -89.5 eV/cell. The value obtained for the energy of formation is 1.473 eV/atom.

It has space group I4_1/amd (No. 141, origin choice 2), with a = 5.198 Å, b = 5.198 Å, c = 20.990 Å, α = 90.00°, β = 90.00° and γ = 90.00°. The distinct sites, in fractional coordinates, are Cs at (0.000, 0.250, 0.375), Ta at (0.000, 0.000, 0.000) and Pb at (0.000, 0.250, 0.875).

CsTa3Pb: relaxed, PBE.

The value obtained for the raw total energy is -25.1 eV/cell. The value obtained for the energy of formation is 3.003 eV/atom. The calculation puts the energy relative to the lowest polymorph listed for this composition at 459 meV per atom.

It has space group Pm-3m (No. 221), with a = 5.097 Å, b = 5.097 Å, c = 5.097 Å, α = 90.00°, β = 90.00° and γ = 90.00°. The distinct sites, in fractional coordinates, are Cs at (0.000, 0.000, 0.000), Ta at (0.000, 0.000, 0.500) and Pb at (0.500, 0.500, 0.500).

CsTaPb2: relaxed, PBE.

The value obtained for the raw total energy is -70.5 eV/cell. The value obtained for the energy of formation is 0.627 eV/atom. The calculation puts the energy relative to the lowest polymorph listed for this composition at 0 meV per atom.

It has space group I-42d (No. 122), with a = 7.160 Å, b = 7.160 Å, c = 16.307 Å, α = 90.00°, β = 90.00° and γ = 90.00°. The distinct sites, in fractional coordinates, are Cs at (0.000, 0.000, 0.000), Ta at (0.000, 0.000, 0.500) and Pb at (0.003, 0.250, 0.625).